# 1
First-principles (PBE) data for Pm8Dy2Mg after structural relaxation, as listed in Alexandria.

Geometry as POSCAR:
```
Pm8Dy2Mg
1.0
5.201 -6.625 0.000
5.201 6.625 0.000
-0.008 0.000 5.489
Pm Dy Mg
8 2 1
Cartesian
0.000 0.000 0.000
3.411 0.000 5.488
5.206 1.821 2.741
6.906 3.346 5.488
5.206 -1.821 2.741
8.609 1.820 2.747
6.906 -3.346 5.488
8.609 -1.820 2.747
1.706 1.596 2.744
1.706 -1.596 2.744
6.896 0.000 5.488
```

Output
energy of formation	14.6	kJ/mol of atoms
density	6.63	g/cm³
V	34.39	Å³ per atom

# 2
First-principles (PBE) data for Pu2Zn3NiAu12 after structural relaxation, as listed in Alexandria.

Geometry as POSCAR:
```
Pu2Zn3NiAu12
1.0
2.854 1.648 12.963
-2.854 1.648 12.963
0.000 -3.296 12.963
Pu Zn Ni Au
2 3 1 12
Cartesian
0.000 0.000 5.782
0.000 0.000 33.108
-1.427 -0.824 12.963
-1.427 0.824 25.927
0.000 1.648 12.963
0.000 0.000 19.445
0.000 -1.690 10.923
-1.463 0.845 10.923
-1.423 -0.822 17.394
-1.463 -0.845 27.967
0.000 -1.644 21.496
-1.423 0.822 21.496
1.423 -0.822 17.394
0.000 1.644 17.394
1.463 0.845 10.923
1.423 0.822 21.496
1.463 -0.845 27.967
0.000 1.690 27.967
```

Output
energy of formation	-12.2	kJ/mol of atoms
density	14.10	g/cm³
V	20.32	Å³ per atom

- energy of formation of number 1 (Pm8Dy2Mg)?
  14.6 kJ/mol of atoms

- Number 1 is which compound?
  Pm8Dy2Mg

- Among the records above, which one has the lowest energy of formation?
  Pu2Zn3NiAu12